*one*
The following is a DFT calculation (GGA-PBE) of crystalline ZrZnRe at its relaxed geometry. Values from VASP.

Structure (Quantum ESPRESSO input):
```
&SYSTEM
  ibrav = 0, nat = 18, ntyp = 3
/
ATOMIC_SPECIES
Zr 91.22 Zr.upf
Zn 65.41 Zn.upf
Re 186.21 Re.upf
CELL_PARAMETERS angstrom
2.612 1.508 13.191
-2.612 1.508 13.191
0.000 -3.016 13.191
ATOMIC_POSITIONS crystal
Zr 0.042 0.042 0.042
Zr 0.179 0.179 0.179
Zr 0.267 0.267 0.267
Zr 0.733 0.733 0.733
Zr 0.821 0.821 0.821
Zr 0.958 0.958 0.958
Zn 0.218 0.724 0.724
Zn 0.276 0.276 0.782
Zn 0.276 0.782 0.276
Zn 0.724 0.218 0.724
Zn 0.724 0.724 0.218
Zn 0.782 0.276 0.276
Re 0.000 0.500 0.500
Re 0.389 0.389 0.389
Re 0.500 0.000 0.500
Re 0.500 0.500 0.000
Re 0.500 0.500 0.500
Re 0.611 0.611 0.611
```

Summary:
The value obtained for the density is 11.0 Mg/m³. The density of states at the Fermi level comes out at 15.49 states/eV/cell.

*two*
The following is a DFT calculation (GGA-PBE) of crystalline ZrZnRe at its relaxed geometry. Values from VASP.

Structure (Quantum ESPRESSO input):
```
&SYSTEM
  ibrav = 0, nat = 3, ntyp = 3
/
ATOMIC_SPECIES
Zr 91.22 Zr.upf
Zn 65.41 Zn.upf
Re 186.21 Re.upf
CELL_PARAMETERS angstrom
0.000 3.043 3.043
3.043 0.000 3.043
3.043 3.043 0.000
ATOMIC_POSITIONS crystal
Zr 0.000 0.000 0.000
Zn 0.750 0.750 0.750
Re 0.500 0.500 0.500
```

Summary:
The value obtained for the density is 10.1 Mg/m³. The density of states at the Fermi level comes out at 3.17 states/eV/cell.

*three*
The following is a DFT calculation (GGA-PBE) of crystalline ZrZnRe at its relaxed geometry. Values from VASP.

Structure (Quantum ESPRESSO input):
```
&SYSTEM
  ibrav = 0, nat = 3, ntyp = 3
/
ATOMIC_SPECIES
Zr 91.22 Zr.upf
Zn 65.41 Zn.upf
Re 186.21 Re.upf
CELL_PARAMETERS angstrom
4.679 0.000 0.000
-2.340 4.052 0.000
0.000 0.000 2.700
ATOMIC_POSITIONS crystal
Zr 0.000 0.000 0.000
Zn 0.333 0.667 0.576
Re 0.667 0.333 0.351
```

Summary:
The value obtained for the density is 11.1 Mg/m³. The density of states at the Fermi level comes out at 2.11 states/eV/cell.

*four*
The following is a DFT calculation (GGA-PBE) of crystalline ZrZnRe at its relaxed geometry. Values from VASP.

Structure (Quantum ESPRESSO input):
```
&SYSTEM
  ibrav = 0, nat = 3, ntyp = 3
/
ATOMIC_SPECIES
Zr 91.22 Zr.upf
Zn 65.41 Zn.upf
Re 186.21 Re.upf
CELL_PARAMETERS angstrom
-1.364 2.118 4.432
1.364 -2.118 4.432
1.364 2.118 -4.432
ATOMIC_POSITIONS crystal
Zr 0.000 0.000 0.000
Zn 0.321 0.321 0.000
Re 0.675 0.675 0.000
```

Summary:
The value obtained for the density is 11.1 Mg/m³. The density of states at the Fermi level comes out at 3.38 states/eV/cell.

Most stable of them? *one*.

*one*
The following is a DFT calculation (GGA-PBE) of crystalline ZrZnRe at its relaxed geometry. Values from VASP.

Structure (Quantum ESPRESSO input):
```
&SYSTEM
  ibrav = 0, nat = 3, ntyp = 3
/
ATOMIC_SPECIES
Zr 91.22 Zr.upf
Zn 65.41 Zn.upf
Re 186.21 Re.upf
CELL_PARAMETERS angstrom
-1.396 1.396 6.529
1.396 -1.396 6.529
1.396 1.396 -6.529
ATOMIC_POSITIONS crystal
Zr 0.000 0.000 0.000
Zn 0.674 0.674 0.000
Re 0.322 0.322 0.000
```

Summary:
The value obtained for the density is 11.2 Mg/m³. The density of states at the Fermi level comes out at 2.96 states/eV/cell.

*two*
The following is a DFT calculation (GGA-PBE) of crystalline ZrZnRe at its relaxed geometry. Values from VASP.

Structure (Quantum ESPRESSO input):
```
&SYSTEM
  ibrav = 0, nat = 3, ntyp = 3
/
ATOMIC_SPECIES
Zr 91.22 Zr.upf
Zn 65.41 Zn.upf
Re 186.21 Re.upf
CELL_PARAMETERS angstrom
0.000 2.246 6.688
1.702 0.000 6.688
1.702 2.246 0.000
ATOMIC_POSITIONS crystal
Zr 0.000 0.000 0.000
Zn 0.321 0.321 0.679
Re 0.668 0.668 0.332
```

Summary:
The value obtained for the density is 11.1 Mg/m³. The density of states at the Fermi level comes out at 1.94 states/eV/cell.

*three*
The following is a DFT calculation (GGA-PBE) of crystalline ZrZnRe at its relaxed geometry. Values from VASP.

Structure (Quantum ESPRESSO input):
```
&SYSTEM
  ibrav = 0, nat = 3, ntyp = 3
/
ATOMIC_SPECIES
Zr 91.22 Zr.upf
Zn 65.41 Zn.upf
Re 186.21 Re.upf
CELL_PARAMETERS angstrom
-1.710 1.710 4.384
1.710 -1.710 4.384
1.710 1.710 -4.384
ATOMIC_POSITIONS crystal
Zr 0.000 0.000 0.000
Zn 0.681 0.681 0.000
Re 0.333 0.333 0.000
```

Summary:
The value obtained for the density is 11.1 Mg/m³. The density of states at the Fermi level comes out at 3.34 states/eV/cell.

*four*
The following is a DFT calculation (GGA-PBE) of crystalline ZrZnRe at its relaxed geometry. Values from VASP.

Structure (Quantum ESPRESSO input):
```
&SYSTEM
  ibrav = 0, nat = 3, ntyp = 3
/
ATOMIC_SPECIES
Zr 91.22 Zr.upf
Zn 65.41 Zn.upf
Re 186.21 Re.upf
CELL_PARAMETERS angstrom
0.000 3.158 3.158
3.158 0.000 3.158
3.158 3.158 0.000
ATOMIC_POSITIONS crystal
Zr 0.000 0.000 0.000
Zn 0.750 0.750 0.750
Re 0.250 0.250 0.250
```

Summary:
The value obtained for the density is 9.0 Mg/m³. The density of states at the Fermi level comes out at 3.52 states/eV/cell.

Most stable of them? *three*.

*one*
The following is a DFT calculation (GGA-PBE) of crystalline Zr3ZnRe at its relaxed geometry. Values from VASP.

Structure (Quantum ESPRESSO input):
```
&SYSTEM
  ibrav = 0, nat = 5, ntyp = 3
/
ATOMIC_SPECIES
Zr 91.22 Zr.upf
Zn 65.41 Zn.upf
Re 186.21 Re.upf
CELL_PARAMETERS angstrom
5.071 0.000 0.000
0.000 5.071 0.000
0.000 0.000 5.071
ATOMIC_POSITIONS crystal
Zr 0.000 0.000 0.500
Zr 0.000 0.500 0.000
Zr 0.500 0.000 0.000
Zn 0.500 0.500 0.500
Re 0.000 0.000 0.000
```

Summary:
The value obtained for the density is 6.7 Mg/m³. The density of states at the Fermi level comes out at 7.10 states/eV/cell.

*two*
The following is a DFT calculation (GGA-PBE) of crystalline Zr3ZnRe at its relaxed geometry. Values from VASP.

Structure (Quantum ESPRESSO input):
```
&SYSTEM
  ibrav = 0, nat = 5, ntyp = 3
/
ATOMIC_SPECIES
Zr 91.22 Zr.upf
Zn 65.41 Zn.upf
Re 186.21 Re.upf
CELL_PARAMETERS angstrom
4.841 0.000 0.000
0.000 4.841 0.000
0.000 0.000 4.841
ATOMIC_POSITIONS crystal
Zr 0.000 0.000 0.500
Zr 0.000 0.500 0.000
Zr 0.500 0.000 0.000
Zn 0.000 0.000 0.000
Re 0.500 0.500 0.500
```

Summary:
The value obtained for the density is 7.7 Mg/m³. The density of states at the Fermi level comes out at 6.59 states/eV/cell.

Most stable of them? *one*.

*one*
The following is a DFT calculation (GGA-PBE) of crystalline ZrRe6 at its relaxed geometry. Values from VASP.

Structure (Quantum ESPRESSO input):
```
&SYSTEM
  ibrav = 0, nat = 7, ntyp = 2
/
ATOMIC_SPECIES
Zr 91.22 Zr.upf
Re 186.21 Re.upf
CELL_PARAMETERS angstrom
-3.427 3.427 3.427
3.427 -3.427 3.427
3.427 3.427 -3.427
ATOMIC_POSITIONS crystal
Zr 0.000 0.000 0.000
Re 0.250 0.500 0.750
Re 0.250 0.750 0.500
Re 0.500 0.250 0.750
Re 0.500 0.750 0.250
Re 0.750 0.250 0.500
Re 0.750 0.500 0.250
```

Summary:
The value obtained for the density is 12.5 Mg/m³. The density of states at the Fermi level comes out at 9.20 states/eV/cell.

*two*
The following is a DFT calculation (GGA-PBE) of crystalline ZrRe6 at its relaxed geometry. Values from VASP.

Structure (Quantum ESPRESSO input):
```
&SYSTEM
  ibrav = 0, nat = 28, ntyp = 2
/
ATOMIC_SPECIES
Zr 91.22 Zr.upf
Re 186.21 Re.upf
CELL_PARAMETERS angstrom
8.483 0.000 0.000
0.000 5.134 0.000
0.000 0.000 10.795
ATOMIC_POSITIONS crystal
Zr 0.230 0.250 0.055
Zr 0.270 0.750 0.555
Zr 0.730 0.250 0.445
Zr 0.770 0.750 0.945
Re 0.072 0.009 0.306
Re 0.072 0.491 0.306
Re 0.073 0.750 0.076
Re 0.084 0.250 0.522
Re 0.139 0.750 0.848
Re 0.184 0.250 0.755
Re 0.316 0.750 0.255
Re 0.361 0.250 0.348
Re 0.416 0.750 0.022
Re 0.427 0.250 0.576
Re 0.428 0.509 0.806
Re 0.428 0.991 0.806
Re 0.572 0.009 0.194
Re 0.572 0.491 0.194
Re 0.573 0.750 0.424
Re 0.584 0.250 0.978
Re 0.639 0.750 0.652
Re 0.684 0.250 0.745
Re 0.816 0.750 0.245
Re 0.861 0.250 0.152
Re 0.916 0.750 0.478
Re 0.927 0.250 0.924
Re 0.928 0.509 0.694
Re 0.928 0.991 0.694
```

Summary:
The value obtained for the density is 17.1 Mg/m³. The density of states at the Fermi level comes out at 20.89 states/eV/cell.

Most stable of them? *two*.

*one*
The following is a DFT calculation (GGA-PBE) of crystalline Zr3Re5 at its relaxed geometry. Values from VASP.

Structure (Quantum ESPRESSO input):
```
&SYSTEM
  ibrav = 0, nat = 8, ntyp = 2
/
ATOMIC_SPECIES
Zr 91.22 Zr.upf
Re 186.21 Re.upf
CELL_PARAMETERS angstrom
3.258 -4.597 0.000
3.258 4.597 0.000
0.000 0.000 4.576
ATOMIC_POSITIONS crystal
Zr 0.000 0.000 0.000
Zr 0.250 0.750 0.500
Zr 0.750 0.250 0.500
Re 0.000 0.500 0.000
Re 0.261 0.261 0.500
Re 0.500 0.000 0.000
Re 0.500 0.500 0.000
Re 0.739 0.739 0.500
```

Summary:
The value obtained for the density is 14.6 Mg/m³. The density of states at the Fermi level comes out at 5.33 states/eV/cell.

*two*
The following is a DFT calculation (GGA-PBE) of crystalline Zr3Re5 at its relaxed geometry. Values from VASP.

Structure (Quantum ESPRESSO input):
```
&SYSTEM
  ibrav = 0, nat = 16, ntyp = 2
/
ATOMIC_SPECIES
Zr 91.22 Zr.upf
Re 186.21 Re.upf
CELL_PARAMETERS angstrom
-5.215 5.215 2.663
5.215 -5.215 2.663
5.215 5.215 -2.663
ATOMIC_POSITIONS crystal
Zr 0.197 0.697 0.894
Zr 0.250 0.250 0.000
Zr 0.303 0.197 0.500
Zr 0.697 0.803 0.500
Zr 0.750 0.750 0.000
Zr 0.803 0.303 0.106
Re 0.052 0.270 0.322
Re 0.230 0.448 0.678
Re 0.250 0.750 0.500
Re 0.270 0.948 0.219
Re 0.448 0.770 0.219
Re 0.552 0.230 0.781
Re 0.730 0.052 0.781
Re 0.750 0.250 0.500
Re 0.770 0.552 0.322
Re 0.948 0.730 0.678
```

Summary:
The value obtained for the density is 13.8 Mg/m³. The density of states at the Fermi level comes out at 11.68 states/eV/cell.

*three*
The following is a DFT calculation (GGA-PBE) of crystalline Zr3Re5 at its relaxed geometry. Values from VASP.

Structure (Quantum ESPRESSO input):
```
&SYSTEM
  ibrav = 0, nat = 16, ntyp = 2
/
ATOMIC_SPECIES
Zr 91.22 Zr.upf
Re 186.21 Re.upf
CELL_PARAMETERS angstrom
8.111 0.000 0.000
-4.055 7.024 0.000
0.000 0.000 5.136
ATOMIC_POSITIONS crystal
Zr 0.000 0.388 0.250
Zr 0.000 0.612 0.750
Zr 0.388 0.000 0.250
Zr 0.388 0.388 0.750
Zr 0.612 0.000 0.750
Zr 0.612 0.612 0.250
Re 0.000 0.190 0.750
Re 0.000 0.810 0.250
Re 0.190 0.000 0.750
Re 0.190 0.190 0.250
Re 0.333 0.667 0.000
Re 0.333 0.667 0.500
Re 0.667 0.333 0.000
Re 0.667 0.333 0.500
Re 0.810 0.000 0.250
Re 0.810 0.810 0.750
```

Summary:
The value obtained for the density is 13.7 Mg/m³. The density of states at the Fermi level comes out at 13.13 states/eV/cell.

Most stable of them? *one*.

*one*
The following is a DFT calculation (GGA-PBE) of crystalline Zr3Re2 at its relaxed geometry. Values from VASP.

Structure (Quantum ESPRESSO input):
```
&SYSTEM
  ibrav = 0, nat = 5, ntyp = 2
/
ATOMIC_SPECIES
Zr 91.22 Zr.upf
Re 186.21 Re.upf
CELL_PARAMETERS angstrom
4.638 0.000 0.000
-2.319 4.016 0.000
0.000 0.000 5.593
ATOMIC_POSITIONS crystal
Zr 0.000 0.000 0.000
Zr 0.333 0.667 0.347
Zr 0.667 0.333 0.653
Re 0.333 0.667 0.843
Re 0.667 0.333 0.157
```

Summary:
The value obtained for the density is 10.3 Mg/m³. The density of states at the Fermi level comes out at 5.23 states/eV/cell.

*two*
The following is a DFT calculation (GGA-PBE) of crystalline Zr3Re2 at its relaxed geometry. Values from VASP.

Structure (Quantum ESPRESSO input):
```
&SYSTEM
  ibrav = 0, nat = 5, ntyp = 2
/
ATOMIC_SPECIES
Zr 91.22 Zr.upf
Re 186.21 Re.upf
CELL_PARAMETERS angstrom
1.595 0.921 11.084
-1.595 0.921 11.084
0.000 -1.842 11.084
ATOMIC_POSITIONS crystal
Zr 0.000 0.000 0.000
Zr 0.207 0.207 0.207
Zr 0.793 0.793 0.793
Re 0.398 0.398 0.398
Re 0.602 0.602 0.602
```

Summary:
The value obtained for the density is 11.0 Mg/m³. The density of states at the Fermi level comes out at 3.27 states/eV/cell.

Most stable of them? *one*.